(1)
Computed, not measured: a PBEsol-optimized structure of KRuPb2 at the meta-GGA SCAN level of DFT.

Calculated values
For the magnetization, the calculation gives 1.30 μB per formula unit. Its energy relative to the elements is 2.8 eV per formula unit. Its calculated density is 9.7 g/cm³.

Cell: 4.4459 4.4459 5.7316 Å, 112.82 112.82 90.00°
Site moments in Bohr magnetons follow the coordinates.
Fractional coordinates of all 4 atoms:
Ru (0.5000, 0.5000, 0.0000)  1.39
K (0.2500, 0.7500, 0.5000)  -0.01
Pb (0.7500, 0.2500, 0.5000)  -0.04
Pb (0.0000, 0.0000, 0.0000)  -0.01


(2)
Computed, not measured: a PBEsol-optimized structure of Pb4Au3 at the meta-GGA SCAN level of DFT.

Calculated values
For the magnetization, the calculation gives 0.00 μB per formula unit. Its energy relative to the elements is -0.1 eV per formula unit. Its calculated density is 14.1 g/cm³.

Cell: 3.4516 3.4516 14.2615 Å, 96.95 96.95 90.00°
Fractional coordinates of all 7 atoms:
Pb (0.8396, 0.8396, 0.6793)
Pb (0.1604, 0.1604, 0.3207)
Pb (0.4352, 0.4352, 0.8705)
Au (0.7245, 0.7245, 0.4489)
Au (0.0000, 0.0000, 0.0000)
Au (0.2755, 0.2755, 0.5511)
Pb (0.5648, 0.5648, 0.1295)


(3)
Computed, not measured: a PBEsol-optimized structure of MnAl2Fe at the meta-GGA SCAN level of DFT.

Calculated values
For the magnetization, the calculation gives 2.65 μB per formula unit. Its energy relative to the elements is -1.4 eV per formula unit. Its calculated density is 5.7 g/cm³.

Cell: 2.9530 4.0206 4.0207 Å, 90.00 90.00 90.00°
Site moments in Bohr magnetons follow the coordinates.
Fractional coordinates of all 4 atoms:
Fe (0.5000, 0.0000, 0.6259)  -0.21
Mn (0.5000, 0.5000, 0.1241)  2.89
Al (0.0000, 0.5000, 0.6243)  -0.03
Al (0.0000, 0.0000, 0.1257)  -0.03


(4)
Computed, not measured: a PBEsol-optimized structure of Fe3Co5 at the meta-GGA SCAN level of DFT.

Calculated values
For the magnetization, the calculation gives 17.83 μB per formula unit. Its energy relative to the elements is -1.0 eV per formula unit. Its calculated density is 8.9 g/cm³.

Cell: 4.8164 4.8164 4.8354 Å, 109.35 109.35 109.56°
Site moments in Bohr magnetons follow the coordinates.
Fractional coordinates of all 8 atoms:
Co (0.5000, 0.0000, 0.5000)  1.89
Fe (0.0000, 0.0000, 0.5000)  2.89
Fe (0.5000, 0.5000, 0.0000)  2.81
Co (0.5000, 0.0000, 0.0000)  1.93
Co (0.0000, 0.5000, 0.5000)  1.89
Co (0.0000, 0.5000, 0.0000)  1.93
Fe (0.5000, 0.5000, 0.5000)  2.89
Co (0.0000, 0.0000, 0.0000)  1.88


(5)
Computed, not measured: a PBEsol-optimized structure of Ta3GaH at the meta-GGA SCAN level of DFT.

Calculated values
For the magnetization, the calculation gives 0.00 μB per formula unit. The total energy comes out at -220.23 eV for the cell shown. Its calculated density is 14.7 g/cm³.

Cell: 4.1074 4.1074 4.1074 Å, 90.00 90.00 90.00°
Fractional coordinates of all 5 atoms:
Ta (0.0000, 0.5000, 0.0000)
Ta (0.0000, 0.0000, 0.5000)
Ta (0.5000, 0.0000, 0.0000)
H (0.0000, 0.0000, 0.0000)
Ga (0.5000, 0.5000, 0.5000)


(6)
Computed, not measured: a PBEsol-optimized structure of KLiF3 at the meta-GGA SCAN level of DFT.

Calculated values
For the magnetization, the calculation gives 1.00 μB per formula unit. The total energy comes out at -33.20 eV for the cell shown. Its calculated density is 2.8 g/cm³.

Cell: 3.9373 3.9373 3.9373 Å, 90.00 90.00 90.00°
Site moments in Bohr magnetons follow the coordinates.
Fractional coordinates of all 5 atoms:
Li (0.0000, 0.0000, 0.0000)  -0.01
F (0.5000, 0.0000, 0.0000)  0.32
K (0.5000, 0.5000, 0.5000)  0.00
F (0.0000, 0.0000, 0.5000)  0.32
F (0.0000, 0.5000, 0.0000)  0.32


(7)
Computed, not measured: a PBEsol-optimized structure of Co2Ir at the meta-GGA SCAN level of DFT.

Calculated values
For the magnetization, the calculation gives 4.76 μB per formula unit. Its energy relative to the elements is 0.2 eV per formula unit. For the energy relative to the lowest polymorph listed for this composition, the calculation gives 0.87 kcal/mol of atoms. Its calculated density is 14.7 g/cm³.

Cell: 4.6372 4.6372 15.0961 Å, 90.00 90.00 120.00°
Site moments in Bohr magnetons follow the coordinates.
Fractional coordinates of all 24 atoms:
Co (0.1617, 0.8383, 0.7500)  1.98
Ir (0.6667, 0.3333, 0.6565)  0.77
Co (0.6667, 0.3333, 0.1271)  2.02
Ir (0.0000, 0.0000, 0.4090)  0.82
Ir (0.0000, 0.0000, 0.5910)  0.82
Co (0.5000, 0.0000, 0.0000)  1.99
Co (0.0000, 0.5000, 0.0000)  1.99
Co (0.8383, 0.1617, 0.2500)  1.98
Ir (0.3333, 0.6667, 0.3435)  0.77
Co (0.3333, 0.6667, 0.6271)  2.02
Co (0.5000, 0.5000, 0.0000)  1.99
Co (0.6766, 0.8383, 0.7500)  1.98
Co (0.8383, 0.6766, 0.2500)  1.98
Co (0.0000, 0.5000, 0.5000)  1.99
Ir (0.3333, 0.6667, 0.1565)  0.77
Ir (0.6667, 0.3333, 0.8435)  0.77
Co (0.3333, 0.6667, 0.8729)  2.02
Ir (0.0000, 0.0000, 0.0910)  0.82
Co (0.6667, 0.3333, 0.3729)  2.02
Co (0.3234, 0.1617, 0.2500)  1.98
Ir (0.0000, 0.0000, 0.9090)  0.82
Co (0.5000, 0.5000, 0.5000)  1.99
Co (0.1617, 0.3234, 0.7500)  1.98
Co (0.5000, 0.0000, 0.5000)  1.99


(8)
Computed, not measured: a PBEsol-optimized structure of ScCuSn2Cl at the meta-GGA SCAN level of DFT.

Calculated values
For the magnetization, the calculation gives 0.00 μB per formula unit. The total energy comes out at -108.56 eV for the cell shown. Its calculated density is 5.4 g/cm³.

Cell: 4.5032 5.1076 5.1076 Å, 90.00 90.00 90.00°
Fractional coordinates of all 5 atoms:
Cl (0.5000, 0.0000, 0.0000)
Sn (0.0000, 0.0000, 0.5000)
Sn (0.0000, 0.5000, 0.0000)
Sc (0.5000, 0.5000, 0.5000)
Cu (0.0000, 0.0000, 0.0000)


(9)
Computed, not measured: a PBEsol-optimized structure of TlCrSi at the meta-GGA SCAN level of DFT.

Calculated values
For the magnetization, the calculation gives 1.32 μB per formula unit. For the energy relative to the lowest polymorph listed for this composition, the calculation gives 0.00 kcal/mol of atoms. Its calculated density is 9.5 g/cm³.

Cell: 3.1774 3.1774 5.3957 Å, 107.12 107.12 90.00°
Site moments in Bohr magnetons follow the coordinates.
Fractional coordinates of all 3 atoms:
Tl (0.6631, 0.6631, 0.3262)  -0.07
Si (0.3795, 0.3795, 0.7590)  -0.11
Cr (0.9574, 0.9574, 0.9148)  1.57


(10)
Computed, not measured: a PBEsol-optimized structure of CsHf3Au at the meta-GGA SCAN level of DFT.

Calculated values
For the magnetization, the calculation gives 0.00 μB per formula unit. Its energy relative to the elements is 12.4 eV per formula unit. Its calculated density is 10.8 g/cm³.

Cell: 5.1041 5.1041 5.1041 Å, 90.00 90.00 90.00°
Fractional coordinates of all 5 atoms:
Hf (0.0000, 0.5000, 0.0000)
Au (0.5000, 0.5000, 0.5000)
Hf (0.0000, 0.0000, 0.5000)
Cs (0.0000, 0.0000, 0.0000)
Hf (0.5000, 0.0000, 0.0000)


(11)
Computed, not measured: a PBEsol-optimized structure of FeAsAu2 at the meta-GGA SCAN level of DFT.

Calculated values
For the magnetization, the calculation gives 3.00 μB per formula unit. Its energy relative to the elements is 0.5 eV per formula unit. Its calculated density is 12.9 g/cm³.

Cell: 2.7280 4.5643 6.0406 Å, 112.20 103.05 90.00°
Site moments in Bohr magnetons follow the coordinates.
Fractional coordinates of all 4 atoms:
Au (0.7926, 0.2926, 0.5852)  0.04
Fe (0.4986, 0.4986, 0.9972)  3.03
As (0.1891, 0.6891, 0.3781)  -0.06
Au (0.0197, 0.0197, 0.0395)  0.05


(12)
Computed, not measured: a PBEsol-optimized structure of Na2MgH8S2O12 at the meta-GGA SCAN level of DFT.

Calculated values
For the magnetization, the calculation gives 0.25 μB per formula unit. The total energy comes out at -351.55 eV for the cell shown. Its calculated density is 2.3 g/cm³.

Cell: 5.4455 8.2540 11.0581 Å, 90.00 100.20 90.00°
Fractional coordinates of all 50 atoms:
O (0.8743, 0.9663, 0.1638)
O (0.8168, 0.7884, 0.9265)
H (0.2437, 0.2271, 0.5065)
H (0.3371, 0.2010, 0.1375)
Na (0.1157, 0.9226, 0.3629)
Na (0.1157, 0.5774, 0.8629)
S (0.3845, 0.7080, 0.1368)
Mg (0.0000, 0.0000, 0.0000)
O (0.6336, 0.2207, 0.2293)
O (0.1832, 0.2884, 0.5735)
Na (0.8843, 0.4226, 0.1371)
H (0.6629, 0.7990, 0.8625)
H (0.7768, 0.6375, 0.6575)
O (0.6895, 0.3628, 0.4263)
H (0.2437, 0.2729, 0.0065)
O (0.2284, 0.9262, 0.5794)
O (0.3664, 0.7207, 0.2707)
S (0.6155, 0.2920, 0.8632)
H (0.7632, 0.4439, 0.6841)
O (0.3105, 0.8628, 0.0737)
S (0.3845, 0.7920, 0.6368)
O (0.2284, 0.5738, 0.0794)
H (0.2232, 0.3625, 0.3425)
O (0.1257, 0.4663, 0.3362)
H (0.7632, 0.0561, 0.1841)
H (0.2368, 0.9439, 0.8159)
S (0.6155, 0.2080, 0.3632)
O (0.6537, 0.6770, 0.1303)
H (0.3371, 0.2990, 0.6375)
O (0.3463, 0.3230, 0.8697)
O (0.1832, 0.2116, 0.0735)
H (0.2368, 0.5561, 0.3159)
O (0.3105, 0.6372, 0.5737)
H (0.7563, 0.7729, 0.4935)
H (0.6629, 0.7010, 0.3625)
O (0.7716, 0.0738, 0.4206)
H (0.7768, 0.8625, 0.1575)
O (0.6336, 0.2793, 0.7293)
O (0.3463, 0.1770, 0.3697)
O (0.6895, 0.1372, 0.9263)
O (0.8743, 0.5337, 0.6638)
O (0.3664, 0.7793, 0.7707)
Na (0.8843, 0.0774, 0.6371)
O (0.1257, 0.0337, 0.8362)
Mg (0.0000, 0.5000, 0.5000)
H (0.2232, 0.1375, 0.8425)
H (0.7563, 0.7271, 0.9935)
O (0.7716, 0.4262, 0.9206)
O (0.6537, 0.8230, 0.6303)
O (0.8168, 0.7116, 0.4265)